VASP calculation (PBE) on an optimized crystal structure of Na3MgTl5.

The value obtained for the polymorph energy (0 for the lowest one) is 0.00 eV/f.u. For the formation energy, the calculation gives -0.09 eV per atom.

It has space group P-62m (No. 189), with a = 9.1549 Å, b = 9.1549 Å, c = 3.4237 Å, α = 90.00°, β = 90.00° and γ = 120.00°. The distinct sites, in fractional coordinates, are Na at (0.0000, 0.3727, 0.0000), Mg at (0.0000, 0.0000, 0.0000), Tl at (0.0000, 0.7121, 0.5000) and Tl at (0.3333, 0.6667, 0.5000).

***

VASP calculation (PBE) on an optimized crystal structure of NdPaHg4.

For the formation energy, the calculation gives 0.01 eV per atom.

It has space group F-43m (No. 216), with a = 8.458 Å, b = 8.458 Å, c = 8.458 Å, α = 90.00°, β = 90.00° and γ = 90.00°. The distinct sites, in fractional coordinates, are Nd at (0.000, 0.000, 0.000), Pa at (0.250, 0.250, 0.250) and Hg at (0.125, 0.125, 0.625).

***

VASP calculation (PBE) on an optimized crystal structure of Cs4Te5As2.

The calculation puts the raw formation energy at -14.9 kcal/mol of atoms.

It has space group Cm (No. 8), with a = 12.941 Å, b = 8.763 Å, c = 10.705 Å, α = 90.00°, β = 105.12° and γ = 90.00°. The distinct sites, in fractional coordinates, are Cs at (0.000, 0.000, 0.000), Cs at (0.025, 0.500, 0.011), Cs at (0.204, 0.000, 0.728), Cs at (0.330, 0.500, 0.392), Te at (0.013, 0.500, 0.371), Te at (0.283, 0.232, 0.086), Te at (0.444, 0.239, 0.686), As at (0.044, 0.500, 0.630) and As at (0.303, 0.000, 0.246).

***

VASP calculation (PBE) on an optimized crystal structure of BaYZn2.

The value obtained for the polymorph energy (0 for the lowest one) is 0.85 eV/f.u. For the formation energy, the calculation gives -0.02 eV per atom.

It has space group P4mm (No. 99), with a = 3.753 Å, b = 3.753 Å, c = 8.347 Å, α = 90.00°, β = 90.00° and γ = 90.00°. The distinct sites, in fractional coordinates, are Ba at (0.000, 0.000, 0.000), Y at (0.500, 0.500, 0.389), Zn at (0.000, 0.000, 0.569) and Zn at (0.500, 0.500, 0.739).

***

VASP calculation (PBE) on an optimized crystal structure of LiInCu3.

The value obtained for the polymorph energy (0 for the lowest one) is 3.20 eV/f.u. For the formation energy, the calculation gives 0.63 eV per atom.

It has space group Pm-3m (No. 221), with a = 4.904 Å, b = 4.904 Å, c = 4.904 Å, α = 90.00°, β = 90.00° and γ = 90.00°. The distinct sites, in fractional coordinates, are Li at (0.000, 0.000, 0.000), In at (0.500, 0.500, 0.500) and Cu at (0.000, 0.500, 0.500).

***

VASP calculation (PBE) on an optimized crystal structure of K2Al2Mo.

The value obtained for the polymorph energy (0 for the lowest one) is 0.00 eV/f.u. For the formation energy, the calculation gives 1.09 eV per atom.

It has space group I4/mmm (No. 139), with a = 3.762 Å, b = 3.762 Å, c = 23.605 Å, α = 90.00°, β = 90.00° and γ = 90.00°. The distinct sites, in fractional coordinates, are K at (0.000, 0.000, 0.114), Al at (0.000, 0.500, 0.250) and Mo at (0.000, 0.000, 0.500).

***

VASP calculation (PBE) on an optimized crystal structure of La2PmSmHo.

For the formation energy, the calculation gives 0.21 eV per atom.

It has space group Pmma (No. 51), with a = 6.516 Å, b = 7.928 Å, c = 6.810 Å, α = 90.00°, β = 90.00° and γ = 90.00°. The distinct sites, in fractional coordinates, are La at (0.250, 0.204, 0.209), Pm at (0.250, 0.500, 0.910), Sm at (0.250, 0.000, 0.684) and Ho at (0.000, 0.500, 0.500).

***

VASP calculation (PBE) on an optimized crystal structure of Ta4PtN.

The calculation puts the raw formation energy at -6.7 kcal/mol of atoms.

It has space group P2_1/c (No. 14), with a = 6.639 Å, b = 5.612 Å, c = 5.309 Å, α = 90.00°, β = 98.00° and γ = 90.00°. The distinct sites, in fractional coordinates, are Ta at (0.102, 0.140, 0.362), Ta at (0.295, 0.605, 0.428), Pt at (0.500, 0.000, 0.500) and N at (0.000, 0.000, 0.000).

***

What is the formula in the fifth record? LiInCu3